First-principles (PBE-GGA) data for crystalline NpI2O at its relaxed geometry, as listed in Alexandria.

```
NpI2O
1.0
1.947 1.124 8.873
-1.947 1.124 8.873
0.000 -2.248 8.873
Np I O
1 2 1
Direct
0.000 0.000 0.000
0.244 0.244 0.244
0.422 0.422 0.422
0.667 0.667 0.667
```

Calculated values
As for the raw total energy: -27.39 eV for the cell shown. Its uncorrected formation energy is -1.60 eV per atom. The mass density comes out at 7.22 Mg/m³. The calculated volume is 116.5 Å³/f.u.